Computed, not measured: a relaxed structure of CrNi7Pd12 at the PBE-GGA level of DFT.

Lattice parameters (Å, degrees): 6.797 6.797 6.797 104.08 104.08 104.08
Positions (direct):
Ni (0.500, 0.500, 0.500)
Ni (0.106, 0.688, 0.060)
Ni (0.940, 0.894, 0.312)
Ni (0.060, 0.106, 0.688)
Ni (0.688, 0.060, 0.106)
Ni (0.894, 0.312, 0.940)
Ni (0.312, 0.940, 0.894)
Pd (0.260, 0.537, 0.770)
Pd (0.350, 0.075, 0.301)
Pd (0.301, 0.350, 0.075)
Pd (0.537, 0.770, 0.260)
Pd (0.463, 0.230, 0.740)
Pd (0.699, 0.650, 0.925)
Pd (0.075, 0.301, 0.350)
Pd (0.925, 0.699, 0.650)
Pd (0.740, 0.463, 0.230)
Pd (0.230, 0.740, 0.463)
Pd (0.770, 0.260, 0.537)
Pd (0.650, 0.925, 0.699)
Cr (0.000, 0.000, 0.000)

Output
ΔH_f (0 K) (kJ/mol of atoms): 6
Space group: R-3 (148)



Computed, not measured: a relaxed structure of CaAuSe at the PBE-GGA level of DFT.

Lattice parameters (Å, degrees): 3.904 3.904 5.388 90.00 90.00 90.00
Positions (direct):
Se (0.500, 0.500, 0.796)
Au (0.500, 0.500, 0.313)
Ca (0.000, 0.000, 0.984)

Output
Space group: P4mm (99)
E_form (uncorrected) (meV per atom): -966



Computed, not measured: a relaxed structure of CuAgF2 at the PBE-GGA level of DFT.

Lattice parameters (Å, degrees): 7.272 7.272 7.272 25.05 25.05 25.05
Positions (direct):
F (0.087, 0.087, 0.087)
F (0.913, 0.913, 0.913)
Ag (0.500, 0.500, 0.500)
Cu (0.000, 0.000, 0.000)

Output
Space group: R-3m (166)
E_form (uncorrected) (meV per atom): -981



Computed, not measured: a relaxed structure of Y2WBr at the PBE-GGA level of DFT.

Lattice parameters (Å, degrees): 5.760 5.760 5.167 89.95 89.95 33.76
Positions (direct):
Y (0.016, 0.016, 0.125)
Y (0.738, 0.738, 0.625)
Br (0.471, 0.471, 0.625)
W (0.275, 0.275, 0.125)

Output
Space group: Amm2 (38)
E_form (uncorrected) (meV per atom): 36



Size of the total moment in μB per cell, matching the order above: 4.80, 0.00, 0.00, 0.00
Calculated volume in A^3/atom, matching the order above: 13.990, 27.378, 15.165, 23.816
Energy in eV per cell, matching the order above: -111.11, -11.66, -14.61, -27.41